VASP calculation (PBE-GGA) on a geometry-optimized FeTcAsBr2 structure.

Summary:
**Offset from the most stable computed form**: 0.090 eV per atom
**Total magnetization**: 6.2 μB per formula unit
**ρ**: 5.529 g/cm3
**Final energy**: -22.1 eV per cell
**Fermi-level density of states**: 1.48 states/eV/atom
**Raw formation energy**: 0.954 eV per atom

Cell lengths 5.029, 5.029, 4.615 Å; angles 90.00, 90.00, 90.00 degrees
Space group P4/mmm (No. 123)
Asymmetric unit:
Fe  0.000  0.000  0.000 x1
Tc  0.500  0.500  0.500 x1
As  0.000  0.000  0.500 x1
Br  0.000  0.500  0.000 x2